DFT (PBE) results for ZnSb2Ir after structural relaxation.

a = 3.127 Å, b = 3.385 Å, c = 7.911 Å
α = 90.00°, β = 90.00°, γ = 90.00°
Sites, in units of the cell vectors:
Ir1 0.500 0.500 0.750
Sb1 0.000 0.000 0.964
Sb2 0.000 0.000 0.536
Zn1 0.500 0.500 0.250

Values from the calculation:
symmetry	No. 47
raw formation energy	0.122	eV/atom
size of the total moment	0.000	μB per formula unit
Fermi-level density of states	2.062	states/eV per cell